[1]
DFT (PBE-GGA) results for a relaxed structure of LuHCl.

Geometry as CIF:
```
data_LuHCl
_chemical_formula_sum 'Lu2 H2 Cl2'
_cell_length_a 5.769
_cell_length_b 3.545
_cell_length_c 5.927
_cell_angle_alpha 90.00
_cell_angle_beta 113.50
_cell_angle_gamma 90.00
_symmetry_space_group_name_H-M 'P 1'
_symmetry_Int_Tables_number 1
_symmetry_space_group_name_Hall 'P 1'
loop_
_atom_site_label
_atom_site_type_symbol
_atom_site_fract_x
_atom_site_fract_y
_atom_site_fract_z
Lu1 Lu 0.205 0.250 0.362
Lu2 Lu 0.795 0.750 0.638
H1 H 0.398 0.750 0.547
H2 H 0.602 0.250 0.453
Cl1 Cl 0.256 0.750 0.038
Cl2 Cl 0.744 0.250 0.962
```

## Properties
Crystal system: monoclinic
Symmetry: P2_1/m
Electronic total energy in eV per cell: -25.98
DOS at the Fermi energy in states/eV/atom: 0.187

---

[2]
DFT (PBE-GGA) results for a relaxed structure of KRuPt2.

Geometry as CIF:
```
data_KRuPt2
_chemical_formula_sum 'K1 Ru1 Pt2'
_cell_length_a 2.787
_cell_length_b 3.637
_cell_length_c 7.878
_cell_angle_alpha 90.00
_cell_angle_beta 90.00
_cell_angle_gamma 90.00
_symmetry_space_group_name_H-M 'P 1'
_symmetry_Int_Tables_number 1
_symmetry_space_group_name_Hall 'P 1'
loop_
_atom_site_label
_atom_site_type_symbol
_atom_site_fract_x
_atom_site_fract_y
_atom_site_fract_z
K1 K 0.000 0.000 0.000
Ru1 Ru 0.000 0.000 0.500
Pt1 Pt 0.500 0.500 0.322
Pt2 Pt 0.500 0.500 0.678
```

## Properties
Energy above the most stable polymorph in this dataset in eV/atom: 0.078
Crystal system: orthorhombic
Symmetry: Pmmm
Electronic total energy in eV per cell: -21.54
DOS at the Fermi energy in states/eV/atom: 1.210

---

[3]
DFT (PBE-GGA) results for a relaxed structure of Y2TaRu2.

Geometry as CIF:
```
data_Y2TaRu2
_chemical_formula_sum 'Y4 Ta2 Ru4'
_cell_length_a 6.703
_cell_length_b 6.703
_cell_length_c 4.708
_cell_angle_alpha 90.00
_cell_angle_beta 90.00
_cell_angle_gamma 90.00
_symmetry_space_group_name_H-M 'P 1'
_symmetry_Int_Tables_number 1
_symmetry_space_group_name_Hall 'P 1'
loop_
_atom_site_label
_atom_site_type_symbol
_atom_site_fract_x
_atom_site_fract_y
_atom_site_fract_z
Y1 Y 0.179 0.321 0.000
Y2 Y 0.321 0.821 0.000
Y3 Y 0.679 0.179 0.000
Y4 Y 0.821 0.679 0.000
Ta1 Ta 0.000 0.000 0.500
Ta2 Ta 0.500 0.500 0.500
Ru1 Ru 0.133 0.633 0.500
Ru2 Ru 0.367 0.133 0.500
Ru3 Ru 0.633 0.867 0.500
Ru4 Ru 0.867 0.367 0.500
```

## Properties
Crystal system: tetragonal
Symmetry: P4/mbm
Electronic total energy in eV per cell: -88.94
DOS at the Fermi energy in states/eV/atom: 0.892